Record 1
## KCr2Si (PBEsol)

Data for crystalline KCr2Si at its relaxed geometry.

Cell lengths 2.9811, 2.9811, 7.9938 Å; angles 90.00, 90.00, 90.00 degrees
Last column: nearest neighbours and their distance in Å.
Atoms (fractional coordinates):
K1 0.0000 0.0000 0.0000  4 K 2.98, 4 Si 3.29
Cr1 0.0000 0.0000 0.4916  4 Cr 2.41, 4 Si 2.53
Cr2 0.5000 0.5000 0.6376  4 Cr 2.41, 1 Si 2.57
Si1 0.5000 0.5000 0.3161  5 Cr 2.53-2.57

Crystal system: tetragonal
Uncorrected energy in eV/cell: -25.6
SG: P4mm (99)

***

Record 2
## Mg14AlCuO16 (PBEsol)

Data for crystalline Mg14AlCuO16 at its relaxed geometry.

Cell lengths 4.1850, 8.4207, 8.4970 Å; angles 90.00, 90.00, 90.00 degrees
Last column: nearest neighbours and their distance in Å.
Atoms (fractional coordinates):
Mg1 0.0000 0.0000 0.0000  6 O 2.01-2.17
Mg2 0.0000 0.0000 0.5000  6 O 2.08-2.22
Mg3 0.0000 0.2526 0.2452  6 O 2.09-2.17
Mg4 0.0000 0.2526 0.7548  6 O 2.09-2.17
Mg5 0.0000 0.7474 0.2452  6 O 2.09-2.17
Mg6 0.0000 0.7474 0.7548  6 O 2.09-2.17
Mg7 0.5000 0.0000 0.2479  6 O 2.09-2.14
Mg8 0.5000 0.0000 0.7521  6 O 2.09-2.14
Mg9 0.5000 0.2502 0.5000  6 O 2.10-2.12
Mg10 0.5000 0.2532 0.0000  6 O 2.08-2.13
Mg11 0.5000 0.5000 0.2445  6 O 2.08-2.17
Mg12 0.5000 0.5000 0.7555  6 O 2.08-2.17
Mg13 0.5000 0.7468 0.0000  6 O 2.08-2.13
Mg14 0.5000 0.7498 0.5000  6 O 2.10-2.12
Al1 0.0000 0.5000 0.5000  4 O 1.83-2.00
Cu1 0.0000 0.5000 0.0000  4 O 2.09-2.20
O1 0.0000 0.0000 0.2556  6 Mg 2.08-2.17
O2 0.0000 0.0000 0.7444  6 Mg 2.08-2.17
O3 0.0000 0.2391 0.0000  5 Mg 2.01-2.10, 1 Cu 2.20
O4 0.0000 0.2631 0.5000  1 Al 2.00, 5 Mg 2.10-2.22
O5 0.0000 0.5000 0.2842  1 Al 1.83
O6 0.0000 0.5000 0.7158  1 Al 1.83
O7 0.0000 0.7369 0.5000  1 Al 2.00, 5 Mg 2.10-2.22
O8 0.0000 0.7609 0.0000  5 Mg 2.01-2.10, 1 Cu 2.20
O9 0.5000 0.0000 0.0000  6 Mg 2.09-2.13
O10 0.5000 0.0000 0.5000  6 Mg 2.09-2.14
O11 0.5000 0.2513 0.2508  6 Mg 2.09-2.13
O12 0.5000 0.2513 0.7492  6 Mg 2.09-2.13
O13 0.5000 0.5000 0.0000  4 Mg 2.08, 2 Cu 2.09
O14 0.5000 0.5000 0.5000  2 Al 2.09, 4 Mg 2.10-2.17
O15 0.5000 0.7487 0.2508  6 Mg 2.09-2.13
O16 0.5000 0.7487 0.7492  6 Mg 2.09-2.13

Crystal system: orthorhombic
Uncorrected energy in eV/cell: -200.2
SG: Pmmm (47)

***

Record 3
## ScBeIr (PBEsol)

Data for crystalline ScBeIr at its relaxed geometry.

Cell lengths 5.6254, 5.6254, 5.6254 Å; angles 90.00, 90.00, 90.00 degrees
Last column: nearest neighbours and their distance in Å.
Atoms (fractional coordinates):
Sc1 0.0000 0.0000 0.0000  4 Be 2.44
Sc2 0.0000 0.5000 0.5000  4 Be 2.44
Sc3 0.5000 0.0000 0.5000  4 Be 2.44
Sc4 0.5000 0.5000 0.0000  4 Be 2.44
Be1 0.2500 0.2500 0.2500  4 Sc 2.44, 4 Ir 2.44
Be2 0.2500 0.7500 0.7500  4 Sc 2.44, 4 Ir 2.44
Be3 0.7500 0.2500 0.7500  4 Sc 2.44, 4 Ir 2.44
Be4 0.7500 0.7500 0.2500  4 Sc 2.44, 4 Ir 2.44
Ir1 0.0000 0.0000 0.5000  4 Be 2.44
Ir2 0.0000 0.5000 0.0000  4 Be 2.44
Ir3 0.5000 0.0000 0.0000  4 Be 2.44
Ir4 0.5000 0.5000 0.5000  4 Be 2.44

Crystal system: cubic
ΔH_f (0 K) in eV per atom: -0.357
Uncorrected energy in eV/cell: -86.0
SG: F-43m (216)

***

Record 4
## Cs2LiTiCo (PBEsol)

Data for crystalline Cs2LiTiCo at its relaxed geometry.

Cell lengths 7.1393, 7.1393, 4.0739 Å; angles 90.00, 90.00, 90.00 degrees
Last column: nearest neighbours and their distance in Å.
Atoms (fractional coordinates):
Cs1 0.0000 0.5000 0.0000  2 Ti 3.57
Cs2 0.5000 0.0000 0.0000  2 Ti 3.57
Li1 0.0000 0.0000 0.5000  2 Li 4.07, 8 Cs 4.11
Ti1 0.5000 0.5000 0.0000  2 Co 2.04
Co1 0.5000 0.5000 0.5000  2 Ti 2.04

Crystal system: tetragonal
ΔH_f (0 K) in eV per atom: 0.944
Uncorrected energy in eV/cell: -15.2
SG: P4/mmm (123)

***

- What is the uncorrected energy in the second record?
  -200.2 eV/cell